VASP calculation (PBE-GGA) on crystalline Sb3PtS8 at its relaxed geometry.

Cell lengths 7.385, 7.381, 7.793 Å; angles 118.41, 90.00, 120.02 degrees
Element x y z (fractional)
S: 0.226 0.453 0.222
S: 0.226 0.997 0.222
Sb: 0.500 0.500 0.000
Sb: 0.500 0.000 0.000
S: 0.774 0.547 0.778
S: 0.252 0.505 0.759
S: 0.770 0.997 0.222
S: 0.230 0.003 0.778
Pt: 0.000 0.000 0.000
Sb: 0.000 0.500 0.000
S: 0.774 0.003 0.778
S: 0.748 0.495 0.241

Results
Calculated volume = 307.3 Å³ per cell
Energy relative to the elements, uncorrected = -144.6 meV per atom
Raw total energy = -4.430 eV/atom
Space group = C2/m